The following is a DFT calculation (PBE) of crystalline RbTmHgO3 at its relaxed geometry.

The calculation puts the total energy at -5.42 eV per atom. The spin magnetization comes out at 0.0000 μB/atom. The calculation puts the formation energy (no corrections) at -1.981 eV per atom.

The structure belongs to space group P2_1/m (No. 11); the cell edges are 7.272, 3.534 and 9.352 Å and the angles 90.00°, 101.64° and 90.00°. The inequivalent atoms are Rb at (0.037, 0.250, 0.333), Tm at (0.467, 0.250, 0.649), Hg at (0.303, 0.250, 0.001), O at (0.244, 0.250, 0.784), O at (0.344, 0.750, 0.516) and O at (0.365, 0.250, 0.222).